Here is an optimized crystal structure of Li7Mn2Co3O12 from the Alexandria database. Energies are from GGA+U.

Cell lengths 5.8072, 5.8384, 7.6700 Å; angles 81.15, 68.41, 61.12 degrees
Last column: nearest neighbours and their distance in Å.
Sites, in units of the cell vectors:
Li 0.0000 0.0000 0.0000  6 O 2.11-2.26
Li 0.0000 0.5000 0.0000  4 O 2.01-2.13
Li 0.3421 0.1564 0.6696  6 O 2.04-2.17
Li 0.3498 0.6382 0.6819  5 O 2.00-2.19
Li 0.5000 0.5000 0.0000  6 O 2.04-2.11
Li 0.6502 0.3618 0.3181  5 O 2.00-2.19
Li 0.6579 0.8436 0.3304  6 O 2.04-2.17
Mn 0.1562 0.3450 0.3269  6 O 1.91-1.98
Mn 0.8438 0.6550 0.6731  6 O 1.91-1.98
Co 0.1604 0.8423 0.3286  4 O 1.88-1.95
Co 0.5000 0.0000 0.0000  4 O 1.92-1.95
Co 0.8396 0.1577 0.6714  4 O 1.88-1.95
O 0.0605 0.1982 0.1746  1 Mn 1.91, 3 Li 2.00-2.11
O 0.0836 0.6612 0.1870  1 Co 1.91, 1 Mn 1.93, 3 Li 2.07-2.13
O 0.2136 0.0335 0.4844  2 Co 1.95, 1 Mn 1.98, 2 Li 2.16-2.17
O 0.2349 0.4910 0.4978  2 Mn 1.95-1.98, 2 Li 2.10-2.14
O 0.4592 0.8235 0.8262  1 Mn 1.91, 1 Co 1.95, 3 Li 2.07-2.10
O 0.4659 0.2864 0.8328  2 Co 1.88-1.92, 2 Li 2.04
O 0.5341 0.7136 0.1672  2 Co 1.88-1.92, 2 Li 2.04
O 0.5408 0.1765 0.1738  1 Mn 1.91, 1 Co 1.95, 3 Li 2.07-2.10
O 0.7651 0.5090 0.5022  2 Mn 1.95-1.98, 2 Li 2.10-2.14
O 0.7864 0.9665 0.5156  2 Co 1.95, 1 Mn 1.98, 2 Li 2.16-2.17
O 0.9164 0.3388 0.8130  1 Co 1.91, 1 Mn 1.93, 3 Li 2.07-2.13
O 0.9395 0.8018 0.8254  1 Mn 1.91, 3 Li 2.00-2.11

Properties
E above lowest polymorph: 21.4 meV per atom
DFT total energy: -5.875 eV/atom
spin magnetization: 11.997 μB/f.u.
SG: No. 2